## Fe2Co2Ru (GGA-PBE)

Data for Fe2Co2Ru after structural relaxation.

Cell lengths 6.7793, 6.7793, 2.6610 Å; angles 90.00, 90.00, 90.00 degrees
Last column: nearest neighbours and their distance in Å.
Fractional positions:
Fe 0.1448 0.3552 0.0000  6 Co 2.35-2.42, 2 Ru 2.60
Fe 0.3552 0.8552 0.0000  6 Co 2.35-2.42, 2 Ru 2.60
Fe 0.6448 0.1448 0.0000  6 Co 2.35-2.42, 2 Ru 2.60
Fe 0.8552 0.6448 0.0000  6 Co 2.35-2.42, 2 Ru 2.60
Co 0.1527 0.6527 0.5000  6 Fe 2.35-2.42
Co 0.3473 0.1527 0.5000  6 Fe 2.35-2.42
Co 0.6527 0.8473 0.5000  6 Fe 2.35-2.42
Co 0.8473 0.3473 0.5000  6 Fe 2.35-2.42
Ru 0.0000 0.0000 0.0000  4 Fe 2.60, 2 Ru 2.66, 8 Co 2.90
Ru 0.5000 0.5000 0.0000  4 Fe 2.60, 2 Ru 2.66, 8 Co 2.90

## Properties
total moment	9.00	μB per formula unit
formation energy	0.27	eV/atom
electronic total energy	-7.816	eV per atom
space group	P4/mbm (127)
distance to the lowest polymorph of the same formula	0.0288	eV/atom